Here is a geometry-optimized Pb5Br4 structure from Alexandria. Energies are from PBE.

Computed properties:
**DFT total energy**: -54.9 eV per cell
**M_tot**: 0.00 μB per formula unit
**SG**: No. 193
**Density of states at the Fermi level**: 0.51 states/eV/atom

```
Pb5Br4
1.0
9.903 0.000 0.000
-4.952 8.576 0.000
0.000 0.000 6.583
Pb Br
10 8
Direct
0.000 0.312 0.250
0.000 0.688 0.750
0.312 0.000 0.250
0.312 0.312 0.750
0.333 0.667 0.000
0.333 0.667 0.500
0.667 0.333 0.000
0.667 0.333 0.500
0.688 0.000 0.750
0.688 0.688 0.250
0.000 0.000 0.000
0.000 0.000 0.500
0.000 0.355 0.750
0.000 0.645 0.250
0.355 0.000 0.750
0.355 0.355 0.250
0.645 0.000 0.250
0.645 0.645 0.750
```

=====

Here is a geometry-optimized PbBr3 structure from Alexandria. Energies are from PBE.

Computed properties:
**DFT total energy**: -21.1 eV per cell
**M_tot**: 0.00 μB per formula unit
**SG**: No. 122
**Density of states at the Fermi level**: 0.39 states/eV/atom

```
PbBr3
1.0
-4.806 4.806 2.910
4.806 -4.806 2.910
4.806 4.806 -2.910
Pb Br
2 6
Direct
0.000 0.000 0.000
0.750 0.250 0.500
0.092 0.625 0.967
0.250 0.750 0.500
0.375 0.342 0.467
0.500 0.500 0.000
0.658 0.125 0.033
0.875 0.908 0.533
```

=====

Here is a geometry-optimized Pb3Br2 structure from Alexandria. Energies are from PBE.

Computed properties:
**DFT total energy**: -31.8 eV per cell
**M_tot**: 0.00 μB per formula unit
**SG**: No. 43
**Density of states at the Fermi level**: 0.34 states/eV/atom

```
Pb3Br2
1.0
0.000 8.729 3.289
5.619 0.000 3.289
5.619 8.729 0.000
Pb Br
6 4
Direct
0.000 0.000 0.000
0.250 0.250 0.250
0.434 0.542 0.383
0.542 0.434 0.641
0.609 0.867 0.708
0.867 0.609 0.816
0.106 0.719 0.258
0.334 0.992 0.531
0.719 0.106 0.916
0.992 0.334 0.144
```